(1)
Computed, not measured: a relaxed structure of DyErTm6 at the PBE level of DFT.

Its total magnetization is 0.0 μB per formula unit. The volume comes out at 30.852 Å³/atom. As for the offset from the most stable computed form: 0.000 kcal/mol of atoms. The formation energy is 1.73 eV per formula unit. The mass density is 9.038 Mg/m³.

The structure belongs to space group P-1 (No. 2); the cell edges are 6.466, 6.655 and 6.803 Å and the angles 119.18°, 103.06° and 90.09°. The inequivalent atoms are Dy at (0.000, 0.000, 0.000), Er at (0.500, 0.000, 0.000), Tm at (0.231, 0.573, 0.480), Tm at (0.250, 0.551, 0.000) and Tm at (0.270, 0.093, 0.522).

(2)
Computed, not measured: a relaxed structure of CeScCl6 at the PBE level of DFT.

Its total magnetization is 1.0 μB per formula unit. The volume comes out at 32.269 Å³/atom. As for the offset from the most stable computed form: 0.000 kcal/mol of atoms. The mass density is 2.559 Mg/m³.

The structure belongs to space group C2/m (No. 12); the cell edges are 6.609, 12.336 and 6.585 Å and the angles 90.00°, 105.91° and 90.00°. The inequivalent atoms are Ce at (0.000, 0.000, 0.000), Sc at (0.000, 0.500, 0.500), Cl at (0.226, 0.359, 0.729) and Cl at (0.240, 0.500, 0.263).

(3)
Computed, not measured: a relaxed structure of CuOsBr at the PBE level of DFT.

Its total magnetization is 0.6 μB per formula unit. The volume comes out at 18.125 Å³/atom. As for the offset from the most stable computed form: 9.084 kcal/mol of atoms. The mass density is 10.190 Mg/m³.

The structure belongs to space group F-43m (No. 216); the cell edges are 6.014, 6.014 and 6.014 Å and the angles 90.00°, 90.00° and 90.00°. The inequivalent atoms are Cu at (0.000, 0.000, 0.000), Os at (0.250, 0.250, 0.750) and Br at (0.000, 0.000, 0.500).

(4)
Computed, not measured: a relaxed structure of NaHg2TeCl at the PBE level of DFT.

Its total magnetization is 0.0 μB per formula unit. The volume comes out at 41.397 Å³/atom. The mass density is 4.711 Mg/m³.

The structure belongs to space group P4/mmm (No. 123); the cell edges are 6.220, 6.220 and 5.350 Å and the angles 90.00°, 90.00° and 90.00°. The inequivalent atoms are Na at (0.000, 0.000, 0.000), Hg at (0.000, 0.500, 0.500), Te at (0.500, 0.500, 0.000) and Cl at (0.500, 0.500, 0.500).

(5)
Computed, not measured: a relaxed structure of NaTc3O at the PBE level of DFT.

Its total magnetization is 7.6 μB per formula unit. The volume comes out at 19.861 Å³/atom. As for the offset from the most stable computed form: 62.416 kcal/mol of atoms. The mass density is 5.568 Mg/m³.

The structure belongs to space group Pm-3m (No. 221); the cell edges are 4.631, 4.631 and 4.631 Å and the angles 90.00°, 90.00° and 90.00°. The inequivalent atoms are Na at (0.000, 0.000, 0.000), Tc at (0.000, 0.000, 0.500) and O at (0.500, 0.500, 0.500).

(6)
Computed, not measured: a relaxed structure of KSr2CaSi at the PBE level of DFT.

Its total magnetization is 0.1 μB per formula unit. The volume comes out at 46.614 Å³/atom. The mass density is 2.013 Mg/m³.

The structure belongs to space group P4/mmm (No. 123); the cell edges are 6.276, 6.276 and 5.918 Å and the angles 90.00°, 90.00° and 90.00°. The inequivalent atoms are K at (0.000, 0.000, 0.000), Sr at (0.000, 0.500, 0.500), Ca at (0.500, 0.500, 0.000) and Si at (0.500, 0.500, 0.500).

For the records above, the corresponding Fermi-level density of states values read 1.76; 0.99; 1.57; 0.36; 1.29; 0.90 states/eV/atom.
For the records above, the corresponding VASP energy values read -4.283; -5.037; -4.354; -1.421; -4.284; -2.464 eV/atom.